First-principles (PBE) data for a geometry-optimized KAl2Zn structure, as listed in Alexandria via LeMat-Bulk.

a b c (Å): 2.992 4.190 7.753
angles (deg): 90.00 98.52 90.00
Fractional positions:
K (0.000, 0.000, 0.000)
Al (0.384, 0.500, 0.666)
Al (0.616, 0.500, 0.334)
Zn (0.000, 0.000, 0.500)

Calculated values
- Energy: -2.276 eV per atom
- D(E_F): 0.6550 states/eV/atom
- Total magnetization: 0.00 μB per atom
- Energy relative to the elements: 4.344 kcal/mol of atoms

=====

First-principles (PBE) data for a geometry-optimized KAlZn structure, as listed in Alexandria via LeMat-Bulk.

a b c (Å): 6.786 6.786 6.786
angles (deg): 149.41 149.41 43.81
Fractional positions:
K (0.000, 0.000, 0.000)
Al (0.286, 0.286, 0.000)
Zn (0.714, 0.714, 0.000)

Calculated values
- Energy: -1.863 eV per atom
- D(E_F): 0.2965 states/eV/atom
- Total magnetization: 0.00 μB per atom
- Excess energy over the best structure of this formula in the dataset: 0.105 eV per atom
- Energy relative to the elements: 4.046 kcal/mol of atoms

=====

First-principles (PBE) data for a geometry-optimized K2Al2Zn structure, as listed in Alexandria via LeMat-Bulk.

a b c (Å): 6.933 6.933 5.982
angles (deg): 90.00 90.00 90.00
Fractional positions:
K (0.182, 0.318, 0.000)
K (0.318, 0.818, 0.000)
K (0.682, 0.182, 0.000)
K (0.818, 0.682, 0.000)
Al (0.136, 0.636, 0.500)
Al (0.364, 0.136, 0.500)
Al (0.636, 0.864, 0.500)
Al (0.864, 0.364, 0.500)
Zn (0.000, 0.000, 0.500)
Zn (0.500, 0.500, 0.500)

Calculated values
- Energy: -1.949 eV per atom
- D(E_F): 0.6617 states/eV/atom
- Total magnetization: 0.00 μB per atom
- Excess energy over the best structure of this formula in the dataset: 0.000 eV per atom
- Energy relative to the elements: 5.586 kcal/mol of atoms

=====

First-principles (PBE) data for a geometry-optimized K2AlZn structure, as listed in Alexandria via LeMat-Bulk.

a b c (Å): 6.454 6.454 6.454
angles (deg): 134.78 134.54 66.06
Fractional positions:
K (0.250, 0.250, 0.000)
K (0.750, 0.750, 0.000)
Al (0.500, 0.000, 0.500)
Zn (0.000, 0.500, 0.500)

Calculated values
- Energy: -1.406 eV per atom
- D(E_F): 0.6208 states/eV/atom
- Total magnetization: 0.11 μB per atom
- Excess energy over the best structure of this formula in the dataset: 0.282 eV per atom
- Energy relative to the elements: 9.147 kcal/mol of atoms

=====

First-principles (PBE) data for a geometry-optimized K2AlZn structure, as listed in Alexandria via LeMat-Bulk.

a b c (Å): 5.543 5.543 5.543
angles (deg): 119.37 119.37 91.10
Fractional positions:
K (0.000, 0.000, 0.000)
K (0.750, 0.250, 0.500)
Al (0.500, 0.500, 0.000)
Zn (0.250, 0.750, 0.500)

Calculated values
- Energy: -1.467 eV per atom
- D(E_F): 1.2332 states/eV/atom
- Total magnetization: 0.00 μB per atom
- Excess energy over the best structure of this formula in the dataset: 0.221 eV per atom
- Energy relative to the elements: 7.746 kcal/mol of atoms

=====

First-principles (PBE) data for a geometry-optimized KAl2Zn structure, as listed in Alexandria via LeMat-Bulk.

a b c (Å): 4.987 4.987 4.987
angles (deg): 120.10 120.10 89.83
Fractional positions:
K (0.000, 0.000, 0.000)
Al (0.500, 0.500, 0.000)
Al (0.750, 0.250, 0.500)
Zn (0.250, 0.750, 0.500)

Calculated values
- Energy: -2.120 eV per atom
- D(E_F): 0.5190 states/eV/atom
- Total magnetization: 0.00 μB per atom
- Energy relative to the elements: 7.932 kcal/mol of atoms

=====

First-principles (PBE) data for a geometry-optimized KAlZn structure, as listed in Alexandria via LeMat-Bulk.

a b c (Å): 5.044 5.044 5.044
angles (deg): 60.00 60.00 60.00
Fractional positions:
K (0.000, 0.000, 0.000)
Al (0.500, 0.500, 0.500)
Zn (0.250, 0.250, 0.250)

Calculated values
- Energy: -1.574 eV per atom
- D(E_F): 0.5792 states/eV/atom
- Total magnetization: 0.00 μB per atom
- Excess energy over the best structure of this formula in the dataset: 0.394 eV per atom
- Energy relative to the elements: 10.698 kcal/mol of atoms

=====

First-principles (PBE) data for a geometry-optimized KAl2Zn structure, as listed in Alexandria via LeMat-Bulk.

a b c (Å): 2.963 4.053 7.810
angles (deg): 90.00 90.42 90.00
Fractional positions:
K (0.000, 0.000, 0.000)
Al (0.496, 0.500, 0.664)
Al (0.996, 0.000, 0.493)
Zn (0.498, 0.500, 0.323)

Calculated values
- Energy: -2.313 eV per atom
- D(E_F): 0.5045 states/eV/atom
- Total magnetization: 0.00 μB per atom
- Energy relative to the elements: 3.479 kcal/mol of atoms

=====

First-principles (PBE) data for a geometry-optimized K2AlZn structure, as listed in Alexandria via LeMat-Bulk.

a b c (Å): 3.731 3.731 10.212
angles (deg): 90.00 90.00 90.00
Fractional positions:
K (0.000, 0.000, 0.000)
K (0.500, 0.500, 0.398)
Al (0.500, 0.500, 0.737)
Zn (0.000, 0.000, 0.663)

Calculated values
- Energy: -1.620 eV per atom
- D(E_F): 0.4095 states/eV/atom
- Total magnetization: 0.00 μB per atom
- Excess energy over the best structure of this formula in the dataset: 0.068 eV per atom
- Energy relative to the elements: 4.207 kcal/mol of atoms

=====

First-principles (PBE) data for a geometry-optimized KAlZn structure, as listed in Alexandria via LeMat-Bulk.

a b c (Å): 4.428 4.428 5.470
angles (deg): 90.00 90.00 120.00
Fractional positions:
K (0.000, 0.000, 0.000)
Al (0.333, 0.667, 0.500)
Zn (0.667, 0.333, 0.500)

Calculated values
- Energy: -1.838 eV per atom
- D(E_F): 0.8445 states/eV/atom
- Total magnetization: 0.00 μB per atom
- Excess energy over the best structure of this formula in the dataset: 0.130 eV per atom
- Energy relative to the elements: 4.613 kcal/mol of atoms

=====

First-principles (PBE) data for a geometry-optimized K2AlZn structure, as listed in Alexandria via LeMat-Bulk.

a b c (Å): 6.514 6.514 6.514
angles (deg): 139.14 124.10 71.53
Fractional positions:
K (0.000, 0.000, 0.000)
K (0.685, 0.185, 0.500)
Al (0.387, 0.387, 0.000)
Zn (0.297, 0.797, 0.500)

Calculated values
- Energy: -1.647 eV per atom
- D(E_F): 0.5180 states/eV/atom
- Total magnetization: 0.00 μB per atom
- Excess energy over the best structure of this formula in the dataset: 0.041 eV per atom
- Energy relative to the elements: 3.597 kcal/mol of atoms

=====

First-principles (PBE) data for a geometry-optimized KAl2Zn9 structure, as listed in Alexandria via LeMat-Bulk.

a b c (Å): 8.459 8.459 8.459
angles (deg): 99.99 99.99 130.78
Fractional positions:
K (0.375, 0.625, 0.750)
K (0.625, 0.375, 0.250)
Al (0.000, 0.000, 0.000)
Al (0.000, 0.000, 0.500)
Al (0.000, 0.500, 0.000)
Al (0.500, 0.000, 0.500)
Zn (0.125, 0.875, 0.250)
Zn (0.134, 0.555, 0.334)
Zn (0.134, 0.800, 0.579)
Zn (0.200, 0.279, 0.334)
Zn (0.200, 0.866, 0.921)
Zn (0.279, 0.200, 0.834)
Zn (0.279, 0.445, 0.079)
Zn (0.445, 0.279, 0.579)
Zn (0.445, 0.866, 0.166)
Zn (0.555, 0.134, 0.834)
Zn (0.555, 0.721, 0.421)
Zn (0.721, 0.555, 0.921)
Zn (0.721, 0.800, 0.166)
Zn (0.800, 0.134, 0.079)
Zn (0.800, 0.721, 0.666)
Zn (0.866, 0.200, 0.421)
Zn (0.866, 0.445, 0.666)
Zn (0.875, 0.125, 0.750)

Calculated values
- Energy: -1.687 eV per atom
- D(E_F): 0.3888 states/eV/atom
- Total magnetization: 0.00 μB per atom
- Energy relative to the elements: -0.366 kcal/mol of atoms